[1]
A geometry-optimized ErTm5Sn2 structure, computed with PBE.

* total magnetic moment: 0.0 μB per formula unit
* VASP energy: -4.653 eV/atom
* formation enthalpy at 0 K: -0.288 eV/atom

Unit cell a=3.505 b=8.279 c=8.279 alpha=77.67 beta=77.78 gamma=77.78
Fractional coordinates of all 8 atoms:
Er1 0.000 0.000 0.000
Tm1 0.000 0.500 0.500
Tm2 0.635 0.591 0.139
Tm3 0.365 0.409 0.861
Tm4 0.365 0.861 0.409
Tm5 0.635 0.139 0.591
Sn1 0.739 0.761 0.761
Sn2 0.261 0.239 0.239

---

[2]
A geometry-optimized ErTmSn structure, computed with PBE.

* total magnetic moment: 1.4 μB per formula unit
* E above lowest polymorph: 0.167 eV/atom
* VASP energy: -4.741 eV/atom
* formation enthalpy at 0 K: -0.396 eV/atom

Unit cell a=3.842 b=3.842 c=6.221 alpha=107.99 beta=107.99 gamma=90.00
Fractional coordinates of all 3 atoms:
Tm1 0.938 0.938 0.877
Sn1 0.284 0.284 0.568
Er1 0.627 0.627 0.255

---

[3]
A geometry-optimized Er3TmSn structure, computed with PBE.

* total magnetic moment: 0.0 μB per formula unit
* VASP energy: -4.698 eV/atom
* formation enthalpy at 0 K: -0.266 eV/atom

Unit cell a=10.692 b=9.062 c=6.288 alpha=69.67 beta=126.05 gamma=142.98
Fractional coordinates of all 10 atoms:
Er1 0.059 0.296 0.628
Er2 0.024 0.672 0.360
Er3 0.535 0.876 0.609
Er4 0.031 0.081 0.217
Er5 0.529 0.289 0.396
Er6 0.004 0.868 0.787
Tm1 0.531 0.081 0.989
Tm2 0.040 0.490 0.968
Sn1 0.539 0.702 0.220
Sn2 0.524 0.461 0.825

---

[4]
A geometry-optimized ErTm2Sn9 structure, computed with PBE.

* total magnetic moment: 0.0 μB per formula unit
* VASP energy: -4.501 eV/atom
* formation enthalpy at 0 K: -0.374 eV/atom

Unit cell a=4.668 b=4.668 c=14.283 alpha=90.00 beta=90.00 gamma=90.00
Fractional coordinates of all 12 atoms:
Er1 0.000 0.000 0.000
Tm1 0.000 0.000 0.333
Tm2 0.000 0.000 0.667
Sn1 0.500 0.500 0.000
Sn2 0.500 0.500 0.334
Sn3 0.500 0.500 0.666
Sn4 0.500 0.000 0.167
Sn5 0.500 0.000 0.500
Sn6 0.500 0.000 0.833
Sn7 0.000 0.500 0.167
Sn8 0.000 0.500 0.500
Sn9 0.000 0.500 0.833

---

[5]
A geometry-optimized ErTm6Sn3 structure, computed with PBE.

* total magnetic moment: 0.6 μB per formula unit
* VASP energy: -4.594 eV/atom
* formation enthalpy at 0 K: -0.254 eV/atom

Unit cell a=6.228 b=7.785 c=7.785 alpha=113.16 beta=105.47 gamma=105.47
Fractional coordinates of all 10 atoms:
Er1 0.227 0.000 0.000
Tm1 0.307 0.000 0.488
Tm2 0.307 0.488 0.000
Tm3 0.762 0.000 0.253
Tm4 0.762 0.253 0.000
Tm5 0.509 0.747 0.747
Tm6 0.819 0.512 0.512
Sn1 0.870 0.643 0.000
Sn2 0.870 0.000 0.643
Sn3 0.228 0.357 0.357

---

[6]
A geometry-optimized Er8Tm6Sn structure, computed with PBE.

* total magnetic moment: 0.0 μB per formula unit
* VASP energy: -4.315 eV/atom
* formation enthalpy at 0 K: 0.174 eV/atom

Unit cell a=6.687 b=9.008 c=9.008 alpha=120.00 beta=90.00 gamma=90.00
Fractional coordinates of all 15 atoms:
Er1 0.885 0.986 0.313
Er2 0.885 0.687 0.673
Er3 0.885 0.327 0.014
Er4 0.115 0.014 0.687
Er5 0.115 0.313 0.327
Er6 0.115 0.673 0.986
Er7 0.795 0.333 0.667
Er8 0.205 0.667 0.333
Tm1 0.607 0.680 0.071
Tm2 0.607 0.929 0.610
Tm3 0.607 0.390 0.320
Tm4 0.393 0.320 0.929
Tm5 0.393 0.071 0.390
Tm6 0.393 0.610 0.680
Sn1 0.500 0.000 0.000

---

| no. | DOS(E_F) (states/eV per cell) |
| --- | --- |
| 1 | 9.9 |
| 2 | 2.5 |
| 3 | 11.4 |
| 4 | 6.5 |
| 5 | 12.9 |
| 6 | 21.9 |